A relaxed K2Rb6I3 crystal, computed with GGA-PBE.

abc: 8.5478 8.7356 15.6614
angles: 71.18 71.40 49.25
Atoms (fractional coordinates):
K 0.5111 0.5068 0.6344
K 0.4889 0.4932 0.3656
Rb 0.1476 0.1447 0.7630
Rb 0.8524 0.8553 0.2370
Rb 0.1709 0.1655 0.4162
Rb 0.8291 0.8345 0.5838
Rb 0.4220 0.3472 0.9643
Rb 0.5780 0.6528 0.0357
I 0.0000 0.0000 0.0000
I 0.3787 0.3811 0.2023
I 0.6213 0.6189 0.7977

Summary:
The formation energy without anion corrections comes out at -0.70 eV/atom. The value obtained for the density of states at the Fermi level is 6.612 states/eV per cell.

=====

A relaxed KRb4I5 crystal, computed with GGA-PBE.

abc: 5.2332 7.4217 13.8752
angles: 105.51 100.87 90.00
Atoms (fractional coordinates):
K 0.0000 0.0000 0.0000
Rb 0.4004 0.4004 0.8008
Rb 0.8019 0.8019 0.6038
Rb 0.1981 0.1981 0.3962
Rb 0.5996 0.5996 0.1992
I 0.5956 0.0956 0.1911
I 0.7995 0.2995 0.5989
I 0.2005 0.7005 0.4011
I 0.0000 0.5000 0.0000
I 0.4044 0.9044 0.8089

Summary:
The formation energy without anion corrections comes out at -1.49 eV/atom. The value obtained for the density of states at the Fermi level is 0.000 states/eV per cell.

=====

A relaxed KRb3I crystal, computed with GGA-PBE.

abc: 7.3253 7.3253 7.3253
angles: 90.00 90.00 90.00
Atoms (fractional coordinates):
I 0.0000 0.0000 0.0000
K 0.5000 0.5000 0.5000
Rb 0.0000 0.5000 0.0000
Rb 0.0000 0.0000 0.5000
Rb 0.5000 0.0000 0.0000

Summary:
The offset from the most stable computed form is 0.000 eV/atom. The formation energy without anion corrections comes out at -0.52 eV/atom. The value obtained for the density of states at the Fermi level is 3.750 states/eV per cell.